A plane-wave DFT calculation with PBE was carried out for a relaxed structure of NaLiSCl2.

a = 5.455 Å, b = 4.341 Å, c = 5.455 Å
α = 90.00°, β = 90.00°, γ = 90.00°
Positions (direct):
Li1 0.000 0.500 0.000
Cl1 0.500 0.000 0.000
Cl2 0.000 0.000 0.500
Na1 0.500 0.500 0.500
S1 0.000 0.000 0.000

Values from the calculation:
Space-group type: P4/mmm, No. 123
Density of states at the Fermi level (states/eV/f.u.): 0.93
Raw formation energy (meV/atom): -728

=====

A plane-wave DFT calculation with PBE was carried out for a relaxed structure of NaLiS2Cl.

a = 5.209 Å, b = 5.209 Å, c = 5.227 Å
α = 90.00°, β = 90.00°, γ = 90.00°
Positions (direct):
S1 0.500 0.000 0.000
S2 0.000 0.500 0.000
Li1 0.500 0.500 0.500
Cl1 0.000 0.000 0.500
Na1 0.000 0.000 0.000

Values from the calculation:
Space-group type: P4/mmm, No. 123
Density of states at the Fermi level (states/eV/f.u.): 3.29
Raw formation energy (meV/atom): 20

=====

A plane-wave DFT calculation with PBE was carried out for a relaxed structure of NaLiS2Cl.

a = 4.220 Å, b = 4.220 Å, c = 6.616 Å
α = 90.00°, β = 90.00°, γ = 90.00°
Positions (direct):
Cl1 0.000 0.000 0.500
Li1 0.000 0.000 0.000
S1 0.000 0.500 0.000
S2 0.500 0.000 0.000
Na1 0.500 0.500 0.500

Values from the calculation:
Space-group type: P4/mmm, No. 123
Density of states at the Fermi level (states/eV/f.u.): 3.80
Raw formation energy (meV/atom): -378

=====

What did we get for uncorrected energy? Answer: -0.216, -0.195, -0.224 Ry/atom, in the order shown.